1.
Material: Zn2FeSe
Method: DFT, meta-GGA SCAN
State: PBEsol geometry

a = 2.9719 Å, b = 2.9719 Å, c = 8.0118 Å
α = 79.31°, β = 79.31°, γ = 60.00°
Last column: magnetic moment on the atom in μB.
Atoms (fractional coordinates):
Zn 0.7566 0.7566 0.7302  -0.05
Zn 0.0050 0.0050 0.9850  0.00
Fe 0.5037 0.5037 0.4888  2.19
Se 0.2347 0.2347 0.2960  -0.13

Computed properties:
Volume in Å³/cell: 60
Energy relative to the elements, uncorrected in eV per atom: 0.149
N(E_F) in states/eV/f.u.: 1.6

2.
Material: LiCd4Tc
Method: DFT, meta-GGA SCAN
State: PBEsol geometry

a = 5.5056 Å, b = 5.5056 Å, c = 5.5056 Å
α = 60.00°, β = 60.00°, γ = 60.00°
Last column: magnetic moment on the atom in μB.
Atoms (fractional coordinates):
Cd 0.3746 0.3746 0.3746  -0.02
Cd 0.3746 0.3746 0.8761  -0.02
Cd 0.3746 0.8761 0.3746  -0.02
Cd 0.8761 0.3746 0.3746  -0.02
Tc 0.0000 0.0000 0.0000  2.98
Li 0.7500 0.7500 0.7500  0.00

Computed properties:
Volume in Å³/cell: 118
N(E_F) in states/eV/f.u.: 3.3
Formation energy from the elements in meV per atom: 345

3.
Material: BeTe2Cl
Method: DFT, meta-GGA SCAN
State: PBEsol geometry

a = 3.0727 Å, b = 6.1574 Å, c = 6.9715 Å
α = 91.66°, β = 102.73°, γ = 90.00°
Atoms (fractional coordinates):
Be 0.5427 0.6268 0.0853
Cl 0.1418 0.6312 0.2835
Te 0.9088 0.8682 0.8176
Te 0.9068 0.3737 0.8135

Computed properties:
Volume in Å³/cell: 129
Energy relative to the elements, uncorrected in eV per atom: -0.347
N(E_F) in states/eV/f.u.: 1.5
Excess energy over the best structure of this formula in the dataset in eV/atom: 0.0000

4.
Material: PrZn2
Method: DFT, meta-GGA SCAN
State: PBEsol geometry

a = 4.5576 Å, b = 5.6784 Å, c = 5.6784 Å
α = 81.75°, β = 66.34°, γ = 66.34°
Atoms (fractional coordinates):
Zn 0.8363 0.5994 0.7280
Zn 0.8363 0.2280 0.0994
Zn 0.1637 0.4006 0.2720
Zn 0.1637 0.7720 0.9006
Pr 0.4504 0.7996 0.2996
Pr 0.5496 0.2004 0.7004

Computed properties:
Volume in Å³/cell: 123
N(E_F) in states/eV/f.u.: 2.4
Formation energy from the elements in meV per atom: -441

5.
Material: La3Te4
Method: DFT, meta-GGA SCAN
State: PBEsol geometry

a = 8.2425 Å, b = 8.2425 Å, c = 8.2425 Å
α = 109.47°, β = 109.47°, γ = 109.47°
Atoms (fractional coordinates):
Te 0.8452 0.0000 0.0000
Te 0.5000 0.8452 0.5000
Te 0.5000 0.3452 0.5000
Te 0.1548 0.1548 0.6548
Te 0.6548 0.6548 0.1548
Te 0.0000 0.5000 0.3452
Te 0.0000 0.5000 0.8452
Te 0.3452 0.0000 0.0000
La 0.7500 0.1250 0.3750
La 0.6250 0.2500 0.8750
La 0.2500 0.3750 0.1250
La 0.8750 0.7500 0.6250
La 0.3750 0.6250 0.7500
La 0.1250 0.8750 0.2500

Computed properties:
Volume in Å³/cell: 431
Energy relative to the elements, uncorrected in eV per atom: -1.769
N(E_F) in states/eV/f.u.: 4.7

6.
Material: MgAl6FeSi2B2O18
Method: DFT, meta-GGA SCAN
State: PBEsol geometry

a = 5.7785 Å, b = 10.3707 Å, c = 11.0447 Å
α = 90.00°, β = 90.00°, γ = 90.00°
Last column: magnetic moment on the atom in μB.
Atoms (fractional coordinates):
O 0.2281 0.7574 0.8302  0.06
O 0.7719 0.2426 0.3302  0.06
O 0.5000 0.8710 0.9967  0.00
O 0.7719 0.7574 0.8302  0.06
O 0.2950 0.9307 0.5006  0.00
O 0.7050 0.9307 0.5006  0.00
O 0.5000 0.5258 0.2108  0.04
O 0.2713 0.7440 0.1713  0.00
O 0.0000 0.1314 0.5226  0.00
O 0.5000 0.1290 0.4967  0.00
O 0.5000 0.4742 0.7108  0.04
O 0.2713 0.2560 0.6713  0.00
O 0.7050 0.0693 0.0006  0.00
O 0.5000 0.7039 0.5980  0.04
O 0.0000 0.9748 0.7882  0.00
O 0.2950 0.0693 0.0006  0.00
O 0.0000 0.2237 0.1193  0.00
O 0.0000 0.7763 0.6193  0.00
O 0.7953 0.5694 0.4985  0.00
O 0.0000 0.7973 0.3994  0.00
O 0.7287 0.2560 0.6713  0.00
O 0.5000 0.7241 0.3801  0.00
O 0.0000 0.0252 0.2882  0.00
O 0.2047 0.5694 0.4985  0.00
O 0.0000 0.2027 0.8994  0.00
O 0.5000 0.3676 0.4815  0.03
O 0.7953 0.4306 0.9985  0.00
O 0.5000 0.2961 0.0980  0.04
O 0.5000 0.6324 0.9815  0.03
O 0.0000 0.6293 0.0038  0.00
O 0.2281 0.2426 0.3302  0.06
O 0.5000 0.2759 0.8801  0.00
O 0.0000 0.3707 0.5038  0.00
O 0.0000 0.8686 0.0226  0.00
O 0.2047 0.4306 0.9985  0.00
O 0.7287 0.7440 0.1713  0.00
B 0.0000 0.4990 0.9993  0.00
B 0.0000 0.5010 0.4993  0.00
B 0.5000 0.0011 0.0001  0.00
B 0.5000 0.9989 0.5001  0.00
Al 0.5000 0.5246 0.5520  0.00
Al 0.7496 0.2502 0.5011  0.00
Al 0.2497 0.7500 0.4989  0.00
Al 0.0000 0.9765 0.4479  0.00
Al 0.0000 0.0235 0.9479  0.00
Al 0.7496 0.7498 0.0011  0.00
Al 0.7503 0.2500 0.9989  0.00
Al 0.7503 0.7500 0.4989  0.00
Al 0.5000 0.4754 0.0520  0.00
Al 0.2497 0.2500 0.9989  0.00
Al 0.2504 0.2502 0.5011  0.00
Al 0.2504 0.7498 0.0011  0.00
Mg 0.0000 0.1568 0.7191  0.00
Mg 0.0000 0.8432 0.2191  0.00
Si 0.0000 0.1837 0.2627  0.01
Si 0.5000 0.6845 0.2364  0.00
Si 0.5000 0.3155 0.7364  0.00
Si 0.0000 0.8163 0.7627  0.01
Fe 0.5000 0.6561 0.7809  3.62
Fe 0.5000 0.3439 0.2809  3.62

Computed properties:
Volume in Å³/cell: 662
Energy relative to the elements, uncorrected in eV per atom: -3.055

Repeat the second record exactly.
Material: LiCd4Tc
Method: DFT, meta-GGA SCAN
State: PBEsol geometry

a = 5.5056 Å, b = 5.5056 Å, c = 5.5056 Å
α = 60.00°, β = 60.00°, γ = 60.00°
Last column: magnetic moment on the atom in μB.
Atoms (fractional coordinates):
Cd 0.3746 0.3746 0.3746  -0.02
Cd 0.3746 0.3746 0.8761  -0.02
Cd 0.3746 0.8761 0.3746  -0.02
Cd 0.8761 0.3746 0.3746  -0.02
Tc 0.0000 0.0000 0.0000  2.98
Li 0.7500 0.7500 0.7500  0.00

Computed properties:
Volume in Å³/cell: 118
N(E_F) in states/eV/f.u.: 3.3
Formation energy from the elements in meV per atom: 345